This record from Alexandria describes a relaxed LaAgMo2O8 crystal. The functional is GGA+U.

POSCAR file:
```
LaAgMo2O8
1.0
-4.695 -0.708 -3.961
5.107 -3.431 -0.615
-2.707 -4.757 4.059
O Mo La Ag
8 2 1 1
Cartesian
1.656 -2.845 -1.455
-1.275 -4.134 -2.577
-0.821 -6.765 -0.155
-3.951 -6.050 0.939
1.453 -6.423 1.762
-1.020 -4.762 2.060
-1.474 -2.130 -0.361
-3.748 -2.472 -2.279
-1.934 -2.506 -2.086
-0.361 -6.390 1.569
-1.354 -2.378 2.029
0.000 0.000 0.000
```

Calculated values
For the density of states at the Fermi level, the calculation gives 0.000 states/eV per cell. Its total energy is -6.979 eV per atom. The value obtained for the magnetization is 0.00 μB/atom.